# PBE-GGA Ba3Sb, relaxed
data_Ba3Sb
_cell_length_a 9.3245
_cell_length_b 11.0424
_cell_length_c 7.7462
_cell_angle_alpha 90.00
_cell_angle_beta 90.00
_cell_angle_gamma 90.00
_space_group_name_H-M_alt 'P 1'
_space_group_IT_number 1
_space_group_name_Hall 'P 1'
loop_
_atom_site_label
_atom_site_fract_x
_atom_site_fract_y
_atom_site_fract_z
Ba1 0.0320 0.2500 0.1311
Ba2 0.1773 0.0582 0.6574
Ba3 0.1773 0.4418 0.6574
Ba4 0.3227 0.5582 0.1574
Ba5 0.3227 0.9418 0.1574
Ba6 0.4680 0.7500 0.6311
Ba7 0.5320 0.2500 0.3689
Ba8 0.6773 0.0582 0.8426
Ba9 0.6773 0.4418 0.8426
Ba10 0.8227 0.5582 0.3426
Ba11 0.8227 0.9418 0.3426
Ba12 0.9680 0.7500 0.8689
Sb1 0.1200 0.7500 0.4406
Sb2 0.3800 0.2500 0.9406
Sb3 0.6200 0.7500 0.0594
Sb4 0.8800 0.2500 0.5594
# DOS(E_F) ... 3.77 states/eV/f.u.
# Final energy ... -3.0773 eV/atom
# Distance to the lowest polymorph of the same formula ... 0.0000 eV per atom
# Size of the total moment ... 4.82 μB/cell
# Formation energy without anion corrections ... -0.605 eV/atom
# Calculated volume ... 199 Å³/f.u.
# SG ... Pnma